i | 5
Lattice="4.734 0.000 0.000 0.000 4.734 0.000 0.000 0.000 4.734" Properties=species:S:1:pos:R:3 comment="PBE LiCaCl3, optimized geometry" total_magnetization_mub_per_fu=0.0 n_ef_per_ev_cell=0.000 pbc="T T T"
Li 0.000 0.000 0.000
Ca 2.367 2.367 2.367
Cl 0.000 0.000 2.367
Cl 0.000 2.367 0.000
Cl 2.367 0.000 0.000


ii | 10
Lattice="3.336 -6.125 0.000 3.336 6.125 0.000 -2.131 0.000 6.189" Properties=species:S:1:pos:R:3 comment="PBE LiCaCl3, optimized geometry" total_magnetization_mub_per_fu=0.0 n_ef_per_ev_cell=0.000 pbc="T T T"
Li 3.336 4.143 0.000
Li 3.336 -4.143 0.000
Ca 2.270 1.918 3.095
Ca 2.270 -1.918 3.095
Cl 0.090 2.339 4.717
Cl 1.078 0.000 1.535
Cl 0.090 -2.339 4.717
Cl 4.450 2.339 1.472
Cl 3.463 0.000 4.654
Cl 4.450 -2.339 1.472


iii | 5
Lattice="5.354 0.000 0.000 0.000 5.354 0.000 0.000 0.000 5.354" Properties=species:S:1:pos:R:3 comment="PBE LiCaCl3, optimized geometry" total_magnetization_mub_per_fu=0.0 n_ef_per_ev_cell=0.000 pbc="T T T"
Li 0.000 0.000 0.000
Ca 2.677 2.677 2.677
Cl 0.000 2.677 2.677
Cl 2.677 0.000 2.677
Cl 2.677 2.677 0.000


We find ii to be the most stable, with the next structure 273 meV per atom higher.


i | 4
Lattice="0.000 3.931 3.931 3.931 0.000 3.931 3.931 3.931 0.000" Properties=species:S:1:pos:R:3 comment="PBE LiCa2Cl, optimized geometry" total_magnetization_mub_per_fu=0.0 n_ef_per_ev_cell=4.265 pbc="T T T"
Li 0.000 0.000 0.000
Ca 1.965 1.965 1.965
Ca 5.896 5.896 5.896
Cl 3.931 3.931 3.931


ii | 4
Lattice="-2.168 2.168 6.562 2.168 -2.168 6.562 2.168 2.168 -6.562" Properties=species:S:1:pos:R:3 comment="PBE LiCa2Cl, optimized geometry" total_magnetization_mub_per_fu=0.0 n_ef_per_ev_cell=1.715 pbc="T T T"
Li 0.000 0.000 0.000
Ca 2.168 0.000 3.281
Ca 0.000 0.000 6.562
Cl 0.000 2.168 3.281


iii | 4
Lattice="4.286 0.000 0.000 0.000 4.286 0.000 0.000 0.000 6.657" Properties=species:S:1:pos:R:3 comment="PBE LiCa2Cl, optimized geometry" total_magnetization_mub_per_fu=0.8 n_ef_per_ev_cell=3.021 pbc="T T T"
Li 0.000 0.000 0.000
Ca 0.000 0.000 3.222
Ca 2.143 2.143 6.121
Cl 2.143 2.143 3.245


We find iii to be the most stable, with the next structure 75 meV per atom higher.


i | 4
Lattice="-1.899 3.288 5.301 1.899 -3.288 5.301 1.899 3.288 -5.301" Properties=species:S:1:pos:R:3 comment="PBE LiCa2Cl, optimized geometry" total_magnetization_mub_per_fu=0.0 n_ef_per_ev_cell=1.957 pbc="T T T"
Li 0.000 0.000 0.000
Ca 1.899 0.000 3.175
Ca 0.000 3.288 2.126
Cl 0.000 0.000 5.301


ii | 4
Lattice="-1.809 2.838 5.818 1.809 -2.838 5.818 1.809 2.838 -5.818" Properties=species:S:1:pos:R:3 comment="PBE LiCa2Cl, optimized geometry" total_magnetization_mub_per_fu=0.0 n_ef_per_ev_cell=1.756 pbc="T T T"
Li 0.000 0.000 0.000
Ca 1.809 0.000 3.381
Ca 0.000 0.000 6.782
Cl 0.000 2.838 3.240


We find i to be the most stable, with the next structure 42 meV per atom higher.


i | 4
Lattice="4.106 0.000 0.000 0.000 3.708 0.000 -0.041 0.000 8.408" Properties=species:S:1:pos:R:3 comment="PBE LiCa2Cl, optimized geometry" total_magnetization_mub_per_fu=0.0 n_ef_per_ev_cell=2.382 pbc="T T T"
Li 0.000 0.000 0.000
Ca 2.011 1.854 6.433
Ca 2.053 1.854 1.975
Cl 2.032 0.000 4.204


ii | 4
Lattice="1.939 -3.245 0.000 1.939 3.245 0.000 0.000 0.000 9.814" Properties=species:S:1:pos:R:3 comment="PBE LiCa2Cl, optimized geometry" total_magnetization_mub_per_fu=0.0 n_ef_per_ev_cell=2.346 pbc="T T T"
Li 0.000 0.000 0.000
Ca 0.000 0.000 3.774
Ca 1.939 0.000 6.902
Cl 1.939 0.000 1.642


We find i to be the most stable, with the next structure 19 meV per atom higher.


i | 4
Lattice="3.972 0.000 0.000 0.000 5.676 0.000 0.000 0.000 5.720" Properties=species:S:1:pos:R:3 comment="PBE LiCa2Cl, optimized geometry" total_magnetization_mub_per_fu=0.0 n_ef_per_ev_cell=3.228 pbc="T T T"
Li 0.000 0.000 0.000
Ca 1.986 0.000 2.860
Ca 1.986 2.838 0.000
Cl 1.986 2.838 2.860


ii | 4
Lattice="3.803 -4.464 0.000 3.803 4.464 0.000 -1.027 0.000 3.491" Properties=species:S:1:pos:R:3 comment="PBE LiCa2Cl, optimized geometry" total_magnetization_mub_per_fu=0.0 n_ef_per_ev_cell=2.892 pbc="T T T"
Li 0.000 0.000 0.000
Ca 1.388 2.232 1.746
Ca 1.388 -2.232 1.746
Cl 3.803 0.000 0.000


iii | 4
Lattice="2.012 -3.151 0.000 2.012 3.151 0.000 0.000 0.000 9.539" Properties=species:S:1:pos:R:3 comment="PBE LiCa2Cl, optimized geometry" total_magnetization_mub_per_fu=0.0 n_ef_per_ev_cell=2.296 pbc="T T T"
Li 0.000 0.000 0.000
Ca 2.012 0.000 2.570
Ca 2.012 0.000 6.969
Cl 0.000 0.000 4.770


iv | 8
Lattice="-3.990 3.990 4.144 3.990 -3.990 4.144 3.990 3.990 -4.144" Properties=species:S:1:pos:R:3 comment="PBE LiCa2Cl, optimized geometry" total_magnetization_mub_per_fu=0.0 n_ef_per_ev_cell=2.220 pbc="T T T"
Li 0.000 0.000 0.000
Li 0.000 3.990 2.072
Ca 1.995 -1.700 3.108
Ca 2.290 1.995 1.036
Ca 1.995 5.690 -1.036
Ca 1.700 1.995 5.180
Cl 3.990 0.000 2.072
Cl 0.000 0.000 4.144


We find i to be the most stable, with the next structure 9 meV per atom higher.